1.
Re7Ni5 | PBE | relaxed

Cell lengths 4.994, 4.994, 15.713 Å; angles 90.00, 90.00, 120.00 degrees
Sites, in units of the cell vectors:
Ni: 0.667 0.333 0.145
Ni: 0.155 0.311 0.250
Ni: 0.155 0.845 0.250
Ni: 0.689 0.845 0.250
Ni: 0.667 0.333 0.355
Ni: 0.333 0.667 0.645
Ni: 0.311 0.155 0.750
Ni: 0.845 0.155 0.750
Ni: 0.845 0.689 0.750
Ni: 0.333 0.667 0.855
Re: 0.500 0.000 0.000
Re: 0.000 0.500 0.000
Re: 0.500 0.500 0.000
Re: 0.000 0.000 0.089
Re: 0.333 0.667 0.136
Re: 0.333 0.667 0.364
Re: 0.000 0.000 0.411
Re: 0.500 0.000 0.500
Re: 0.000 0.500 0.500
Re: 0.500 0.500 0.500
Re: 0.000 0.000 0.589
Re: 0.667 0.333 0.636
Re: 0.667 0.333 0.864
Re: 0.000 0.000 0.911

## Properties
Formation enthalpy at 0 K: 0.35 eV/atom
Mass density: 15.6 g/cm³
Total energy: -9.215 eV/atom
Crystal system: hexagonal

2.
Re3Ni | PBE | relaxed

Cell lengths 5.397, 5.397, 4.354 Å; angles 90.00, 90.00, 120.00 degrees
Sites, in units of the cell vectors:
Ni: 0.667 0.333 0.250
Ni: 0.333 0.667 0.750
Re: 0.166 0.332 0.250
Re: 0.166 0.834 0.250
Re: 0.668 0.834 0.250
Re: 0.332 0.166 0.750
Re: 0.834 0.166 0.750
Re: 0.834 0.668 0.750

## Properties
Formation enthalpy at 0 K: -0.11 eV/atom
Mass density: 18.7 g/cm³
Total energy: -10.818 eV/atom
Crystal system: hexagonal

3.
Re3Ni10 | PBE | relaxed

Cell lengths 8.878, 8.878, 8.878 Å; angles 29.90, 29.90, 29.90 degrees
Sites, in units of the cell vectors:
Ni: 0.585 0.091 0.091
Ni: 0.091 0.585 0.091
Ni: 0.350 0.350 0.350
Ni: 0.909 0.909 0.415
Ni: 0.454 0.454 0.454
Ni: 0.546 0.546 0.546
Ni: 0.091 0.091 0.585
Ni: 0.650 0.650 0.650
Ni: 0.909 0.415 0.909
Ni: 0.415 0.909 0.909
Re: 0.000 0.000 0.000
Re: 0.163 0.163 0.163
Re: 0.837 0.837 0.837

## Properties
Formation enthalpy at 0 K: 0.11 eV/atom
Mass density: 12.4 g/cm³
Total energy: -7.042 eV/atom
Crystal system: trigonal

4.
Re2Ni13 | PBE | relaxed

Cell lengths 8.648, 8.648, 4.549 Å; angles 90.00, 90.00, 90.00 degrees
Site moments in Bohr magnetons follow the coordinates.
Sites, in units of the cell vectors:
Ni: 0.369 0.037 0.000  0.10
Ni: 0.567 0.235 0.000  0.19
Ni: 0.037 0.369 0.000  0.11
Ni: 0.765 0.433 0.000  0.20
Ni: 0.500 0.500 0.000  0.15
Ni: 0.235 0.567 0.000  0.20
Ni: 0.963 0.631 0.000  0.11
Ni: 0.433 0.765 0.000  0.19
Ni: 0.631 0.963 0.000  0.10
Ni: 0.818 0.182 0.249  0.31
Ni: 0.182 0.818 0.249  0.32
Ni: 0.318 0.318 0.251  0.31
Ni: 0.682 0.682 0.251  0.32
Ni: 0.000 0.000 0.500  0.15
Ni: 0.265 0.067 0.500  0.20
Ni: 0.537 0.131 0.500  0.11
Ni: 0.067 0.265 0.500  0.20
Ni: 0.869 0.463 0.500  0.10
Ni: 0.131 0.537 0.500  0.10
Ni: 0.933 0.735 0.500  0.20
Ni: 0.463 0.869 0.500  0.11
Ni: 0.735 0.933 0.500  0.20
Ni: 0.318 0.318 0.749  0.32
Ni: 0.682 0.682 0.749  0.31
Ni: 0.818 0.182 0.751  0.32
Ni: 0.182 0.818 0.751  0.31
Re: 0.100 0.100 0.000  0.07
Re: 0.900 0.900 0.000  0.07
Re: 0.600 0.400 0.500  0.06
Re: 0.400 0.600 0.500  0.06

## Properties
Formation enthalpy at 0 K: 0.07 eV/atom
Mass density: 11.1 g/cm³
Total energy: -6.415 eV/atom
Crystal system: tetragonal

5.
Re7Ni5 | PBE | relaxed

Cell lengths 4.920, 4.920, 16.100 Å; angles 90.00, 90.00, 120.00 degrees
Site moments in Bohr magnetons follow the coordinates.
Sites, in units of the cell vectors:
Ni: 0.500 0.000 0.000  0.32
Ni: 0.000 0.500 0.000  0.16
Ni: 0.500 0.500 0.000  0.35
Ni: 0.667 0.333 0.159  0.01
Ni: 0.667 0.333 0.341  0.01
Ni: 0.500 0.000 0.500  0.33
Ni: 0.000 0.500 0.500  0.16
Ni: 0.500 0.500 0.500  0.36
Ni: 0.333 0.667 0.659  0.01
Ni: 0.333 0.667 0.841  0.01
Re: 0.000 0.000 0.082  0.09
Re: 0.333 0.667 0.121  0.01
Re: 0.162 0.324 0.250  -0.01
Re: 0.162 0.838 0.250  0.00
Re: 0.676 0.838 0.250  0.00
Re: 0.333 0.667 0.379  0.02
Re: 0.000 0.000 0.418  0.09
Re: 0.000 0.000 0.582  0.09
Re: 0.667 0.333 0.621  0.02
Re: 0.324 0.162 0.750  0.00
Re: 0.838 0.162 0.750  0.00
Re: 0.838 0.676 0.750  -0.01
Re: 0.667 0.333 0.879  0.01
Re: 0.000 0.000 0.918  0.09

## Properties
Formation enthalpy at 0 K: 0.38 eV/atom
Mass density: 15.7 g/cm³
Total energy: -9.190 eV/atom
Crystal system: hexagonal

6.
Re8Ni5 | PBE | relaxed

Cell lengths 9.019, 9.019, 9.019 Å; angles 32.35, 32.35, 32.35 degrees
Sites, in units of the cell vectors:
Ni: 0.000 0.000 0.000
Ni: 0.165 0.165 0.165
Ni: 0.345 0.345 0.345
Ni: 0.655 0.655 0.655
Ni: 0.835 0.835 0.835
Re: 0.584 0.091 0.091
Re: 0.091 0.584 0.091
Re: 0.909 0.909 0.416
Re: 0.451 0.451 0.451
Re: 0.549 0.549 0.549
Re: 0.091 0.091 0.584
Re: 0.416 0.909 0.909
Re: 0.909 0.416 0.909

## Properties
Formation enthalpy at 0 K: 0.25 eV/atom
Mass density: 15.9 g/cm³
Total energy: -9.534 eV/atom
Crystal system: trigonal

7.
Re3Ni2 | PBE | relaxed

Cell lengths 6.188, 6.188, 5.474 Å; angles 124.42, 55.58, 120.00 degrees
Sites, in units of the cell vectors:
Ni: 0.589 0.411 0.234
Ni: 0.911 0.089 0.266
Ni: 0.089 0.911 0.734
Ni: 0.411 0.589 0.766
Re: 0.495 0.750 0.250
Re: 0.250 0.995 0.250
Re: 0.005 0.505 0.250
Re: 0.750 0.005 0.750
Re: 0.505 0.250 0.750
Re: 0.995 0.495 0.750

## Properties
Formation enthalpy at 0 K: 0.58 eV/atom
Mass density: 16.3 g/cm³
Total energy: -9.096 eV/atom
Crystal system: trigonal

8.
Re5Ni7 | PBE | relaxed

Cell lengths 4.964, 4.964, 15.749 Å; angles 90.00, 90.00, 120.00 degrees
Site moments in Bohr magnetons follow the coordinates.
Sites, in units of the cell vectors:
Ni: 0.500 0.000 0.000  0.08
Ni: 0.000 0.500 0.000  0.10
Ni: 0.500 0.500 0.000  0.09
Ni: 0.000 0.000 0.091  0.11
Ni: 0.667 0.333 0.159  0.00
Ni: 0.667 0.333 0.341  0.00
Ni: 0.000 0.000 0.409  0.11
Ni: 0.500 0.000 0.500  0.09
Ni: 0.000 0.500 0.500  0.10
Ni: 0.500 0.500 0.500  0.09
Ni: 0.000 0.000 0.591  0.11
Ni: 0.333 0.667 0.659  0.00
Ni: 0.333 0.667 0.841  0.00
Ni: 0.000 0.000 0.909  0.11
Re: 0.333 0.667 0.121  0.01
Re: 0.161 0.322 0.250  0.01
Re: 0.161 0.839 0.250  0.01
Re: 0.678 0.839 0.250  0.00
Re: 0.333 0.667 0.379  0.02
Re: 0.667 0.333 0.621  0.02
Re: 0.322 0.161 0.750  0.00
Re: 0.839 0.161 0.750  0.01
Re: 0.839 0.678 0.750  0.01
Re: 0.667 0.333 0.879  0.01

## Properties
Formation enthalpy at 0 K: 0.46 eV/atom
Mass density: 13.3 g/cm³
Total energy: -7.967 eV/atom
Crystal system: hexagonal

9.
Re2Ni | PBE | relaxed

Cell lengths 5.041, 5.041, 15.617 Å; angles 90.00, 90.00, 120.00 degrees
Sites, in units of the cell vectors:
Ni: 0.000 0.000 0.088
Ni: 0.333 0.667 0.127
Ni: 0.333 0.667 0.373
Ni: 0.000 0.000 0.412
Ni: 0.000 0.000 0.588
Ni: 0.667 0.333 0.627
Ni: 0.667 0.333 0.873
Ni: 0.000 0.000 0.912
Re: 0.500 0.000 0.000
Re: 0.000 0.500 0.000
Re: 0.500 0.500 0.000
Re: 0.667 0.333 0.160
Re: 0.161 0.323 0.250
Re: 0.161 0.839 0.250
Re: 0.677 0.839 0.250
Re: 0.667 0.333 0.340
Re: 0.500 0.000 0.500
Re: 0.000 0.500 0.500
Re: 0.500 0.500 0.500
Re: 0.333 0.667 0.660
Re: 0.323 0.161 0.750
Re: 0.839 0.161 0.750
Re: 0.839 0.677 0.750
Re: 0.333 0.667 0.840

## Properties
Formation enthalpy at 0 K: 0.40 eV/atom
Mass density: 16.7 g/cm³
Total energy: -9.741 eV/atom
Crystal system: hexagonal

10.
ReNi4 | PBE | relaxed

Cell lengths 8.747, 8.747, 4.586 Å; angles 90.00, 90.00, 90.00 degrees
Site moments in Bohr magnetons follow the coordinates.
Sites, in units of the cell vectors:
Ni: 0.731 0.070 0.000  0.02
Ni: 0.460 0.130 0.000  0.04
Ni: 0.930 0.269 0.000  0.02
Ni: 0.130 0.460 0.000  0.04
Ni: 0.870 0.540 0.000  0.04
Ni: 0.070 0.731 0.000  0.02
Ni: 0.540 0.870 0.000  0.04
Ni: 0.269 0.930 0.000  0.02
Ni: 0.681 0.319 0.249  0.04
Ni: 0.319 0.681 0.249  0.04
Ni: 0.181 0.181 0.251  0.04
Ni: 0.819 0.819 0.251  0.05
Ni: 0.630 0.040 0.500  0.04
Ni: 0.430 0.231 0.500  0.02
Ni: 0.960 0.370 0.500  0.05
Ni: 0.231 0.430 0.500  0.02
Ni: 0.769 0.570 0.500  0.02
Ni: 0.040 0.630 0.500  0.05
Ni: 0.570 0.769 0.500  0.02
Ni: 0.370 0.960 0.500  0.04
Ni: 0.181 0.181 0.749  0.05
Ni: 0.819 0.819 0.749  0.04
Ni: 0.681 0.319 0.751  0.04
Ni: 0.319 0.681 0.751  0.04
Re: 0.000 0.000 0.000  0.00
Re: 0.394 0.394 0.000  0.02
Re: 0.606 0.606 0.000  0.02
Re: 0.894 0.106 0.500  0.01
Re: 0.500 0.500 0.500  0.00
Re: 0.106 0.894 0.500  0.01

## Properties
Formation enthalpy at 0 K: 0.07 eV/atom
Mass density: 12.0 g/cm³
Total energy: -6.864 eV/atom
Crystal system: tetragonal

11.
Re12Ni17 | PBE | relaxed

Cell lengths 7.888, 7.888, 7.888 Å; angles 109.47, 109.47, 109.47 degrees
Sites, in units of the cell vectors:
Ni: 0.000 0.000 0.000
Ni: 0.658 0.000 0.000
Ni: 0.683 0.404 0.000
Ni: 0.000 0.658 0.000
Ni: 0.404 0.683 0.000
Ni: 0.596 0.596 0.279
Ni: 0.721 0.317 0.317
Ni: 0.317 0.721 0.317
Ni: 0.342 0.342 0.342
Ni: 0.683 0.000 0.404
Ni: 0.000 0.683 0.404
Ni: 0.596 0.279 0.596
Ni: 0.279 0.596 0.596
Ni: 0.000 0.000 0.658
Ni: 0.404 0.000 0.683
Ni: 0.000 0.404 0.683
Ni: 0.317 0.317 0.721
Re: 0.382 0.194 0.000
Re: 0.194 0.382 0.000
Re: 0.806 0.806 0.188
Re: 0.382 0.000 0.194
Re: 0.000 0.382 0.194
Re: 0.194 0.000 0.382
Re: 0.000 0.194 0.382
Re: 0.618 0.812 0.618
Re: 0.812 0.618 0.618
Re: 0.806 0.188 0.806
Re: 0.188 0.806 0.806
Re: 0.618 0.618 0.812

## Properties
Formation enthalpy at 0 K: 0.11 eV/atom
Mass density: 14.2 g/cm³
Total energy: -8.291 eV/atom
Crystal system: cubic

12.
Re7Ni5 | PBE | relaxed

Cell lengths 4.924, 4.924, 15.942 Å; angles 90.00, 90.00, 120.00 degrees
Sites, in units of the cell vectors:
Ni: 0.000 0.000 0.092
Ni: 0.156 0.312 0.250
Ni: 0.156 0.844 0.250
Ni: 0.688 0.844 0.250
Ni: 0.000 0.000 0.408
Ni: 0.000 0.000 0.592
Ni: 0.312 0.156 0.750
Ni: 0.844 0.156 0.750
Ni: 0.844 0.688 0.750
Ni: 0.000 0.000 0.908
Re: 0.500 0.000 0.000
Re: 0.000 0.500 0.000
Re: 0.500 0.500 0.000
Re: 0.333 0.667 0.134
Re: 0.667 0.333 0.152
Re: 0.667 0.333 0.348
Re: 0.333 0.667 0.366
Re: 0.500 0.000 0.500
Re: 0.000 0.500 0.500
Re: 0.500 0.500 0.500
Re: 0.667 0.333 0.634
Re: 0.333 0.667 0.652
Re: 0.333 0.667 0.848
Re: 0.667 0.333 0.866

## Properties
Formation enthalpy at 0 K: 0.37 eV/atom
Mass density: 15.8 g/cm³
Total energy: -9.200 eV/atom
Crystal system: hexagonal

Q: Number 12 is which compound?
A: Re7Ni5